Entry 1:
KNdSn2O6 | PBE | relaxed

Output
Its total energy is -6.30 eV/atom. The uncorrected formation energy is -19.40 eV per formula unit. As for the space group: Fm-3m, No. 225. The volume is 13.65 Å³ per atom.

Cell: 5.7787 5.7787 5.7787 Å, 60.00 60.00 60.00°
Closest atoms and distances in Å follow each position.
Sites, in units of the cell vectors:
K 0.5000 0.5000 0.5000  12 O 2.89
Nd 0.0000 0.0000 0.0000  12 O 2.89
Sn 0.2500 0.2500 0.2500  6 O 2.04
Sn 0.7500 0.7500 0.7500  6 O 2.04
O 0.5000 0.0000 0.0000  2 Sn 2.04
O 0.0000 0.5000 0.5000  2 Sn 2.04
O 0.5000 0.0000 0.5000  2 Sn 2.04
O 0.0000 0.5000 0.0000  2 Sn 2.04
O 0.0000 0.0000 0.5000  2 Sn 2.04
O 0.5000 0.5000 0.0000  2 Sn 2.04

Entry 2:
Rb2PPd | PBE | relaxed

Output
For the energy of formation, the calculation gives -0.30 eV per atom. Its total energy is -3.43 eV/atom. The density of states at the Fermi level comes out at 1.5 states/eV/cell. As for the space group: Cm, No. 8. The volume is 33.89 Å³ per atom.

Cell: 4.0881 6.4227 6.4250 Å, 59.75 71.42 71.48°
Closest atoms and distances in Å follow each position.
Sites, in units of the cell vectors:
Rb 0.0706 0.8401 0.0180  3 P 3.46-3.55, 2 Pd 3.66-3.74, 1 Rb 3.71
Rb 0.4286 0.4820 0.6599  3 P 3.46-3.55, 2 Pd 3.66-3.74, 1 Rb 3.71
P 0.7503 0.0102 0.4898  2 Pd 2.28
Pd 0.2505 0.1677 0.3323  2 P 2.28

Entry 3:
HfTi2BPb | PBE | relaxed

Output
For the energy of formation, the calculation gives -0.30 eV per atom. Its total energy is -7.53 eV/atom. The density of states at the Fermi level comes out at 4.0 states/eV/cell. As for the space group: P4/mmm, No. 123. The volume is 17.65 Å³ per atom.

Cell: 4.3853 4.3853 4.5887 Å, 90.00 90.00 90.00°
Closest atoms and distances in Å follow each position.
Sites, in units of the cell vectors:
Pb 0.5000 0.5000 0.5000  4 Hf 3.10, 8 Ti 3.17
B 0.0000 0.0000 0.0000  4 Ti 2.19, 2 Hf 2.29
Hf 0.0000 0.0000 0.5000  2 B 2.29
Ti 0.0000 0.5000 0.0000  2 B 2.19
Ti 0.5000 0.0000 0.0000  2 B 2.19

Entry 4:
Ac2IrN | PBE | relaxed

Output
Its total energy is -6.73 eV/atom. The uncorrected formation energy is -1.51 eV per formula unit. The density of states at the Fermi level comes out at 1.7 states/eV/cell. For the energy relative to the lowest polymorph listed for this composition, the calculation gives 0.290 eV per atom. As for the space group: P4/mmm, No. 123. The volume is 21.71 Å³ per atom.

Cell: 3.4569 3.4569 7.2672 Å, 90.00 90.00 90.00°
Closest atoms and distances in Å follow each position.
Sites, in units of the cell vectors:
Ac 0.0000 0.0000 0.7792  4 N 2.92, 4 Ir 3.18, 1 Ac 3.21
Ac 0.0000 0.0000 0.2208  4 N 2.92, 4 Ir 3.18, 1 Ac 3.21
Ir 0.5000 0.5000 0.5000  8 Ac 3.18, 4 Ir 3.46
N 0.5000 0.5000 0.0000  8 Ac 2.92

Entry 5:
TaBeNi3 | PBE | relaxed

Output
For the energy of formation, the calculation gives 1.56 eV per atom. Its total energy is -5.02 eV/atom. The density of states at the Fermi level comes out at 4.4 states/eV/cell. For the energy relative to the lowest polymorph listed for this composition, the calculation gives 1.424 eV per atom. As for the space group: Pm-3m, No. 221. The volume is 18.25 Å³ per atom.

Cell: 4.5022 4.5022 4.5022 Å, 90.00 90.00 90.00°
Closest atoms and distances in Å follow each position.
Sites, in units of the cell vectors:
Ni 0.0000 0.5000 0.0000  2 Ta 2.25
Ni 0.0000 0.0000 0.5000  2 Ta 2.25
Ni 0.5000 0.0000 0.0000  2 Ta 2.25
Be 0.5000 0.5000 0.5000  12 Ni 3.18
Ta 0.0000 0.0000 0.0000  6 Ni 2.25